# Sm2BeSi4Ir3

Crystalline Sm2BeSi4Ir3 at its relaxed geometry (PBE, Alexandria).

Output
Its symmetry is P-4m2 (115). Its uncorrected formation energy is -0.86 eV/atom. The volume comes out at 169.7 Å³/cell. The value obtained for the density of states at the Fermi level is 6.21 states/eV/f.u. The value obtained for the total magnetization is 0.0 μB/cell.

Geometry as extended XYZ:
```
10
Lattice="4.123 0.000 0.000 0.000 4.123 0.000 0.000 0.000 9.983" Properties=species:S:1:pos:R:3 pbc="T T T"
Sm 0.000 2.061 2.495
Sm 2.061 0.000 7.488
Be 0.000 0.000 4.991
Si 0.000 0.000 0.000
Si 0.000 2.061 6.304
Si 2.061 0.000 3.679
Si 2.061 2.061 0.000
Ir 0.000 2.061 8.719
Ir 2.061 0.000 1.264
Ir 2.061 2.061 4.991
```